No. 1
VASP calculation (PBE) on crystalline In6IrPd3 at its relaxed geometry. Values from VASP.

Calculated values
- V: 430 Å³/cell
- Total magnetic moment: 0.00 Bohr magnetons per cell
- Energy of formation: -0.239 eV per atom

Geometry as Quantum ESPRESSO input:
```
&SYSTEM
  ibrav = 0, nat = 20, ntyp = 3
/
ATOMIC_SPECIES
In 114.82 In.upf
Ir 192.22 Ir.upf
Pd 106.42 Pd.upf
CELL_PARAMETERS angstrom
7.436 0.000 0.000
0.000 6.511 0.000
-6.222 0.000 8.875
ATOMIC_POSITIONS crystal
In 0.067 0.018 0.269
In 0.067 0.482 0.769
In 0.248 0.158 0.594
In 0.248 0.342 0.094
In 0.387 0.631 0.559
In 0.387 0.869 0.059
In 0.613 0.131 0.941
In 0.613 0.369 0.441
In 0.752 0.658 0.906
In 0.752 0.842 0.406
In 0.933 0.518 0.231
In 0.933 0.982 0.731
Ir 0.000 0.000 0.000
Ir 0.000 0.500 0.500
Pd 0.298 0.685 0.261
Pd 0.298 0.815 0.761
Pd 0.500 0.000 0.500
Pd 0.500 0.500 0.000
Pd 0.702 0.185 0.239
Pd 0.702 0.315 0.739
```


No. 2
VASP calculation (PBE) on crystalline Ac5Nd2Sm at its relaxed geometry. Values from VASP.

Calculated values
- V: 655 Å³/cell
- Total magnetic moment: 0.00 Bohr magnetons per cell
- Energy of formation: 0.031 eV per atom

Geometry as Quantum ESPRESSO input:
```
&SYSTEM
  ibrav = 0, nat = 16, ntyp = 3
/
ATOMIC_SPECIES
Ac 227.00 Ac.upf
Nd 144.24 Nd.upf
Sm 150.36 Sm.upf
CELL_PARAMETERS angstrom
7.691 0.000 0.000
0.000 15.387 0.000
0.000 0.000 5.532
ATOMIC_POSITIONS crystal
Ac 0.000 0.000 0.000
Ac 0.009 0.254 0.000
Ac 0.241 0.622 0.500
Ac 0.259 0.122 0.500
Ac 0.491 0.754 0.000
Ac 0.500 0.500 0.000
Ac 0.509 0.246 0.000
Ac 0.741 0.878 0.500
Ac 0.759 0.378 0.500
Ac 0.991 0.746 0.000
Nd 0.244 0.876 0.500
Nd 0.256 0.376 0.500
Nd 0.744 0.624 0.500
Nd 0.756 0.124 0.500
Sm 0.000 0.500 0.000
Sm 0.500 0.000 0.000
```


No. 3
VASP calculation (PBE) on crystalline Sr2Tc2Br at its relaxed geometry. Values from VASP.

Calculated values
- Energy above the most stable polymorph in this dataset: 608 meV/atom
- V: 295 Å³/cell
- Total magnetic moment: 1.29 Bohr magnetons per cell
- Raw formation energy: 9.211 kcal/mol of atoms

Geometry as Quantum ESPRESSO input:
```
&SYSTEM
  ibrav = 0, nat = 10, ntyp = 3
/
ATOMIC_SPECIES
Sr 87.62 Sr.upf
Tc 98.00 Tc.upf
Br 79.90 Br.upf
CELL_PARAMETERS angstrom
9.124 0.000 0.000
0.000 9.124 0.000
0.000 0.000 3.549
ATOMIC_POSITIONS crystal
Sr 0.193 0.307 0.000
Sr 0.307 0.807 0.000
Sr 0.693 0.193 0.000
Sr 0.807 0.693 0.000
Tc 0.082 0.582 0.500
Tc 0.418 0.082 0.500
Tc 0.582 0.918 0.500
Tc 0.918 0.418 0.500
Br 0.000 0.000 0.000
Br 0.500 0.500 0.000
```


No. 4
VASP calculation (PBE) on crystalline Ti2Pd9Au at its relaxed geometry. Values from VASP.

Calculated values
- V: 186 Å³/cell
- Total magnetic moment: 0.00 Bohr magnetons per cell
- Energy of formation: -0.476 eV per atom

Geometry as Quantum ESPRESSO input:
```
&SYSTEM
  ibrav = 0, nat = 12, ntyp = 3
/
ATOMIC_SPECIES
Ti 47.87 Ti.upf
Pd 106.42 Pd.upf
Au 196.97 Au.upf
CELL_PARAMETERS angstrom
3.953 0.000 0.000
0.000 3.953 0.000
0.000 0.000 11.872
ATOMIC_POSITIONS crystal
Ti 0.000 0.000 0.170
Ti 0.000 0.000 0.830
Pd 0.000 0.500 0.000
Pd 0.000 0.500 0.323
Pd 0.000 0.500 0.677
Pd 0.500 0.000 0.000
Pd 0.500 0.000 0.323
Pd 0.500 0.000 0.677
Pd 0.500 0.500 0.162
Pd 0.500 0.500 0.500
Pd 0.500 0.500 0.838
Au 0.000 0.000 0.500
```